The following is a DFT calculation (GGA-PBE) of crystalline ZnTe at its relaxed geometry.

Unit cell a=7.6234 b=7.6234 c=7.6234 alpha=90.00 beta=90.00 gamma=90.00
Closest atoms and distances in Å follow each position.
Fractional coordinates of all 12 atoms:
Zn  0.2500  0.0000  0.5000  4 Te 2.70
Zn  0.7500  0.0000  0.5000  4 Te 2.70
Zn  0.0000  0.5000  0.2500  4 Te 2.70
Zn  0.0000  0.5000  0.7500  4 Te 2.70
Zn  0.5000  0.2500  0.0000  4 Te 2.70
Zn  0.5000  0.7500  0.0000  4 Te 2.70
Te  0.2500  0.5000  0.0000  4 Zn 2.70
Te  0.7500  0.5000  0.0000  4 Zn 2.70
Te  0.5000  0.0000  0.2500  4 Zn 2.70
Te  0.5000  0.0000  0.7500  4 Zn 2.70
Te  0.0000  0.2500  0.5000  4 Zn 2.70
Te  0.0000  0.7500  0.5000  4 Zn 2.70

Properties
The space group is Pm-3n. The calculation puts the uncorrected formation energy at -0.35 eV per atom. For the density, the calculation gives 4.34 Mg/m³.